Here is a geometry-optimized SrCe2P3 structure from Alexandria. Energies are from PBE.

Cell: 5.911 7.276 8.367 Å, 106.71 90.00 113.97°
Atoms (fractional coordinates):
Ce: 0.335 0.670 0.418
Ce: 0.335 0.670 0.918
P: 0.500 0.000 0.750
Sr: 0.000 0.000 0.250
Ce: 0.665 0.330 0.082
Sr: 0.000 0.000 0.750
P: 0.183 0.365 0.091
P: 0.500 0.000 0.250
P: 0.817 0.635 0.409
P: 0.183 0.365 0.591
P: 0.817 0.635 0.909
Ce: 0.665 0.330 0.582

## Properties
Its final energy is -6.30 eV/atom. Its crystal system is orthorhombic. As for the energy of formation from the pure elements: -8.03 eV/f.u. Its magnetization is 2.060 μB per cell. The density of states at the Fermi level is 1.398 states/eV per atom. As for the symmetry: Immm, No. 71.

Here is a geometry-optimized SrCeP2 structure from Alexandria. Energies are from PBE.

Cell: 4.223 4.223 7.342 Å, 73.29 73.29 60.00°
Atoms (fractional coordinates):
Sr: 0.500 0.500 0.500
P: 0.739 0.739 0.783
P: 0.261 0.261 0.217
Ce: 0.000 0.000 0.000

## Properties
Its final energy is -5.91 eV/atom. Its crystal system is trigonal. As for the energy of formation from the pure elements: -5.19 eV/f.u. Its magnetization is 0.000 μB per cell. As for the symmetry: R-3m, No. 166.

Here is a geometry-optimized SrCeP2 structure from Alexandria. Energies are from PBE.

Cell: 4.181 4.181 7.552 Å, 73.93 73.93 60.00°
Atoms (fractional coordinates):
Ce: 0.668 0.668 0.996
P: 0.262 0.262 0.215
Sr: 0.497 0.497 0.508
P: 0.073 0.073 0.781

## Properties
Its final energy is -5.82 eV/atom. Its crystal system is trigonal. As for the energy of formation from the pure elements: -4.84 eV/f.u. Its magnetization is 0.000 μB per cell. As for the symmetry: R3m, No. 160.

Here is a geometry-optimized SrCeP2 structure from Alexandria. Energies are from PBE.

Cell: 5.952 5.952 7.341 Å, 113.92 113.92 90.00°
Atoms (fractional coordinates):
P: 0.982 0.482 0.965
Ce: 0.750 0.250 0.500
Ce: 0.000 0.000 0.000
Sr: 0.500 0.500 0.000
P: 0.518 0.018 0.035
Sr: 0.250 0.750 0.500
P: 0.232 0.232 0.465
P: 0.768 0.768 0.535

## Properties
Its final energy is -5.86 eV/atom. Its crystal system is tetragonal. As for the energy of formation from the pure elements: -5.01 eV/f.u. Its magnetization is 0.000 μB per cell. As for the symmetry: I4_1/amd, No. 141.

Here is a geometry-optimized Sr2CeP structure from Alexandria. Energies are from PBE.

Cell: 4.163 4.163 11.639 Å, 79.70 79.70 60.00°
Atoms (fractional coordinates):
P: 0.500 0.500 0.500
Ce: 0.000 0.000 0.000
Sr: 0.118 0.118 0.646
Sr: 0.882 0.882 0.354

## Properties
Its final energy is -3.87 eV/atom. Its crystal system is trigonal. As for the energy of formation from the pure elements: -0.76 eV/f.u. Its magnetization is 2.297 μB per cell. The density of states at the Fermi level is 2.722 states/eV per atom. As for the symmetry: R-3m, No. 166.

Here is a geometry-optimized SrCe4P5 structure from Alexandria. Energies are from PBE.

Cell: 4.145 7.187 9.273 Å, 75.24 77.09 73.24°
Atoms (fractional coordinates):
P: 0.610 0.673 0.108
Ce: 0.202 0.393 0.202
P: 0.205 0.902 0.688
Ce: 0.798 0.607 0.798
P: 0.390 0.327 0.892
P: 0.000 0.500 0.500
Sr: 0.000 0.000 0.000
P: 0.795 0.098 0.312
Ce: 0.597 0.203 0.602
Ce: 0.403 0.797 0.398

## Properties
Its final energy is -6.65 eV/atom. Its crystal system is monoclinic. As for the energy of formation from the pure elements: -14.00 eV/f.u. Its magnetization is 2.401 μB per cell. The density of states at the Fermi level is 1.764 states/eV per atom. As for the symmetry: C2/m, No. 12.

Here is a geometry-optimized SrCe5P6 structure from Alexandria. Energies are from PBE.

Cell: 7.169 7.169 7.170 Å, 99.60 99.60 119.96°
Atoms (fractional coordinates):
P: 0.260 0.260 0.743
Ce: 0.667 0.333 0.000
Ce: 0.164 0.836 0.500
P: 0.432 0.086 0.257
Sr: 0.000 0.000 0.000
P: 0.914 0.568 0.743
Ce: 0.333 0.667 0.000
Ce: 0.836 0.164 0.500
Ce: 0.500 0.500 0.500
P: 0.568 0.914 0.743
P: 0.740 0.740 0.257
P: 0.086 0.432 0.257

## Properties
Its final energy is -6.73 eV/atom. Its crystal system is monoclinic. As for the energy of formation from the pure elements: -16.95 eV/f.u. Its magnetization is 3.120 μB per cell. The density of states at the Fermi level is 1.927 states/eV per atom. As for the symmetry: C2/m, No. 12.

Here is a geometry-optimized SrTbCe2P4 structure from Alexandria. Energies are from PBE.

Cell: 4.139 7.141 7.210 Å, 70.54 90.00 90.00°
Atoms (fractional coordinates):
P: 0.500 0.756 0.258
P: 0.500 0.244 0.742
Ce: 0.000 0.000 0.000
P: 0.000 0.768 0.732
Tb: 0.000 0.500 0.500
Ce: 0.500 0.000 0.500
P: 0.000 0.232 0.268
Sr: 0.500 0.500 0.000

## Properties
Its final energy is -6.38 eV/atom. Its crystal system is monoclinic. As for the energy of formation from the pure elements: -11.21 eV/f.u. Its magnetization is 0.887 μB per cell. The density of states at the Fermi level is 0.915 states/eV per atom. As for the symmetry: P2/m, No. 10.